MgSbBr2 (PBE, optimized geometry); space group = Imm2, No. 44; D(E_F) = 0.9 states/eV per cell; formation energy without anion corrections = -592 meV per atom; excess energy over the best structure of this formula in the dataset = 171 meV per atom
1.0
8.114 0.158 0.009
5.411 6.048 -0.009
-6.236 -4.251 2.984
Br Mg Sb
2 1 1
direct
0.655 0.155 0.500
0.938 0.938 0.000
0.534 0.534 0.000
0.372 0.872 0.500